The following is a DFT calculation (PBE) of Hg2SeO5 after structural relaxation.

Calculated values
D(E_F)   0.464 states/eV/f.u.
Uncorrected formation energy   -441 meV/atom

abc: 7.6535 8.4742 10.1041
angles: 75.08 67.74 63.16
Last column: nearest neighbours and their distance in Å.
Sites, in units of the cell vectors:
Hg 0.5574 0.0599 0.6540  2 O 2.11-2.21
Hg 0.7045 0.0621 0.9828  2 O 2.15-2.33
Hg 0.7494 0.4379 0.5172  2 O 2.15-2.33
Hg 0.7287 0.5599 0.1540  2 O 2.11-2.21
Hg 0.2713 0.4401 0.8460  2 O 2.11-2.21
Hg 0.2506 0.5621 0.4828  2 O 2.15-2.33
Hg 0.2955 0.9379 0.0172  2 O 2.15-2.33
Hg 0.4426 0.9401 0.3460  2 O 2.11-2.21
Se 0.9226 0.0188 0.3217  4 O 1.66-1.72
Se 0.2631 0.4812 0.1783  4 O 1.66-1.72
Se 0.7369 0.5188 0.8217  4 O 1.66-1.72
Se 0.0774 0.9812 0.6783  4 O 1.66-1.72
O 0.9649 0.9633 0.1589  1 Se 1.70
O 0.2960 0.0135 0.5688  1 Se 1.72
O 0.8786 0.1223 0.6172  1 Se 1.68
O 0.4290 0.2723 0.1941  1 Se 1.66
O 0.8954 0.2277 0.3059  1 Se 1.66
O 0.4419 0.1088 0.8720  2 Hg 2.11-2.15
O 0.4226 0.3912 0.6280  2 Hg 2.11-2.15
O 0.0871 0.5367 0.3411  1 Se 1.70
O 0.1217 0.5135 0.0688  1 Se 1.72
O 0.6181 0.3777 0.8828  1 Se 1.68
O 0.3819 0.6223 0.1172  1 Se 1.68
O 0.8783 0.4865 0.9312  1 Se 1.72
O 0.9129 0.4633 0.6589  1 Se 1.70
O 0.5774 0.6088 0.3720  2 Hg 2.11-2.15
O 0.5581 0.8912 0.1280  2 Hg 2.11-2.15
O 0.1046 0.7723 0.6941  1 Se 1.66
O 0.5710 0.7277 0.8059  1 Se 1.66
O 0.1214 0.8777 0.3828  1 Se 1.68
O 0.7040 0.9865 0.4312  1 Se 1.72
O 0.0351 0.0367 0.8411  1 Se 1.70

The following is a DFT calculation (PBE) of LiPm2PaSe6 after structural relaxation.

Calculated values
Uncorrected formation energy   -1270 meV/atom

abc: 6.5433 6.8183 6.8183
angles: 90.00 90.00 90.00
Last column: nearest neighbours and their distance in Å.
Sites, in units of the cell vectors:
Li 0.5436 0.0000 0.0000  5 Se 2.44-2.64
Pm 0.9968 0.5000 0.0000  4 Se 2.94
Pm 0.9968 0.0000 0.5000  4 Se 2.94
Pa 0.6027 0.5000 0.5000  5 Se 2.68-2.80
Se 0.7402 0.2386 0.2386  1 Li 2.64, 1 Pa 2.68, 2 Pm 2.94
Se 0.7402 0.2386 0.7614  1 Li 2.64, 1 Pa 2.68, 2 Pm 2.94
Se 0.1754 0.5000 0.5000  1 Pa 2.80
Se 0.1706 0.0000 0.0000  1 Li 2.44
Se 0.7402 0.7614 0.7614  1 Li 2.64, 1 Pa 2.68, 2 Pm 2.94
Se 0.7402 0.7614 0.2386  1 Li 2.64, 1 Pa 2.68, 2 Pm 2.94

The following is a DFT calculation (PBE) of FePtBr after structural relaxation.

Calculated values
D(E_F)   2.378 states/eV/f.u.
Uncorrected formation energy   210 meV/atom

abc: 3.4427 3.4427 5.9338
angles: 90.00 90.00 120.00
Last column: nearest neighbours and their distance in Å.
Sites, in units of the cell vectors:
Br 0.0000 0.0000 0.0542  3 Fe 2.66
Fe 0.6667 0.3333 0.3526  3 Pt 2.45, 3 Br 2.66
Pt 0.3333 0.6667 0.5932  3 Fe 2.45

The following is a DFT calculation (PBE) of BeP2Pt after structural relaxation.

Calculated values
Energy   -19.942 eV per cell
D(E_F)   2.613 states/eV/f.u.

abc: 9.0875 9.0875 9.0875
angles: 17.86 17.86 17.86
Last column: nearest neighbours and their distance in Å.
Sites, in units of the cell vectors:
P 0.0258 0.0258 0.0258  3 Be 2.28
P 0.2300 0.2300 0.2300  3 Pt 2.51
Pt 0.4923 0.4923 0.4923  3 P 2.51, 3 Be 2.56
Be 0.7519 0.7519 0.7519  3 P 2.28

The following is a DFT calculation (PBE) of BaCaI2 after structural relaxation.

Calculated values
D(E_F)   3.578 states/eV/f.u.
Uncorrected formation energy   -986 meV/atom

abc: 5.9354 5.9354 5.9354
angles: 60.00 60.00 60.00
Last column: nearest neighbours and their distance in Å.
Sites, in units of the cell vectors:
I 0.2500 0.2500 0.2500  4 Ba 3.63, 4 Ca 3.63
I 0.7500 0.7500 0.7500  4 Ba 3.63, 4 Ca 3.63
Ca 0.0000 0.0000 0.0000  8 I 3.63
Ba 0.5000 0.5000 0.5000  8 I 3.63

The following is a DFT calculation (PBE) of FeNiAg2 after structural relaxation.

Calculated values
Energy   -18.626 eV per cell
D(E_F)   2.535 states/eV/f.u.

abc: 4.8207 4.8207 4.7509
angles: 80.45 80.45 33.03
Last column: nearest neighbours and their distance in Å.
Sites, in units of the cell vectors:
Ag 0.9974 0.9974 0.0016  6 Ag 2.74-2.75, 3 Ni 2.75-2.79, 3 Fe 2.76-2.79
Ag 0.5026 0.5026 0.4984  6 Ag 2.74-2.75, 3 Ni 2.75-2.79, 3 Fe 2.76-2.79
Fe 0.7500 0.7500 0.7500  2 Fe 2.74, 4 Ni 2.74, 6 Ag 2.76-2.79
Ni 0.2500 0.2500 0.2500  2 Ni 2.74, 4 Fe 2.74, 6 Ag 2.75-2.79